## PmHo2Ni (PBE)

Data for a relaxed PmHo2Ni crystal.

Results
Energy, eV per atom: -5.109
Energy of formation, meV/atom: -187
Mass density, g/cm3: 8.569

Unit cell a=3.4315 b=3.4315 c=8.7811 alpha=90.00 beta=90.00 gamma=90.00
Fractional coordinates of all 4 atoms:
Ni: 0.5000 0.5000 0.0000
Ho: 0.0000 0.0000 0.8176
Ho: 0.0000 0.0000 0.1824
Pm: 0.5000 0.5000 0.5000